1.
ReAu3: relaxed, GGA-PBEsol.

Cell and atoms, written as CIF:
```
data_ReAu3
_space_group_name_H-M_alt 'I 4/m m m'
_space_group_IT_number 139
_space_group_name_Hall '-I 4 2'
_cell_length_a 4.1216
_cell_length_b 4.1216
_cell_length_c 7.6610
_cell_angle_alpha 90.00
_cell_angle_beta 90.00
_cell_angle_gamma 90.00
loop_
_atom_site_label
_atom_site_fract_x
_atom_site_fract_y
_atom_site_fract_z
Re1 0.0000 0.0000 0.0000
Au1 0.0000 0.0000 0.5000
Au2 0.0000 0.5000 0.2500
```

Summary:
formation enthalpy at 0 K: 2.5 eV/f.u.
Fermi-level density of states: 8.693 states/eV/cell

=====

2.
TaSi2Os: relaxed, GGA-PBEsol.

Cell and atoms, written as CIF:
```
data_TaSi2Os
_space_group_name_H-M_alt 'I -4 m 2'
_space_group_IT_number 119
_space_group_name_Hall 'I -4 -2'
_cell_length_a 3.6824
_cell_length_b 3.6824
_cell_length_c 8.3249
_cell_angle_alpha 90.00
_cell_angle_beta 90.00
_cell_angle_gamma 90.00
loop_
_atom_site_label
_atom_site_fract_x
_atom_site_fract_y
_atom_site_fract_z
Ta1 0.0000 0.0000 0.0000
Si1 0.0000 0.0000 0.5000
Si2 0.0000 0.5000 0.7500
Os1 0.0000 0.5000 0.2500
```

Summary:
Fermi-level density of states: 5.627 states/eV/cell
formation energy without anion corrections: -0.177 eV/atom

=====

3.
Mg2Tl: relaxed, GGA-PBEsol.

Cell and atoms, written as CIF:
```
data_Mg2Tl
_space_group_name_H-M_alt 'I 41/a m d'
_space_group_IT_number 141
_cell_length_a 3.2896
_cell_length_b 3.2896
_cell_length_c 27.3148
_cell_angle_alpha 90.00
_cell_angle_beta 90.00
_cell_angle_gamma 90.00
loop_
_space_group_symop_operation_xyz
'x,y,z'
'-x,-y,-z'
'-y+1/4,x+3/4,z+1/4'
'y+1/4,-x+3/4,-z+1/4'
'-x+1/2,-y,z+1/2'
'x+1/2,y,-z+1/2'
'y+1/4,-x+1/4,z+3/4'
'-y+1/4,x+1/4,-z+3/4'
'x,-y,-z'
'-x,y,z'
'-y+1/4,-x+1/4,-z+3/4'
'y+1/4,x+1/4,z+3/4'
'-x+1/2,y,-z+1/2'
'x+1/2,-y,z+1/2'
'y+1/4,x+3/4,-z+1/4'
'-y+1/4,-x+3/4,z+1/4'
'x+1/2,y+1/2,z+1/2'
'-x+1/2,-y+1/2,-z+1/2'
'-y+3/4,x+1/4,z+3/4'
'y+3/4,-x+1/4,-z+3/4'
'-x,-y+1/2,z'
'x,y+1/2,-z'
'y+3/4,-x+3/4,z+1/4'
'-y+3/4,x+3/4,-z+1/4'
'x+1/2,-y+1/2,-z+1/2'
'-x+1/2,y+1/2,z+1/2'
'-y+3/4,-x+3/4,-z+1/4'
'y+3/4,x+3/4,z+1/4'
'-x,y+1/2,-z'
'x,-y+1/2,z'
'y+3/4,x+1/4,-z+3/4'
'-y+3/4,-x+1/4,z+3/4'
loop_
_atom_site_label
_atom_site_fract_x
_atom_site_fract_y
_atom_site_fract_z
Mg1 0.0000 0.2500 0.2978
Tl1 0.0000 0.2500 0.8750
```

Summary:
formation enthalpy at 0 K: 0.1 eV/f.u.
Fermi-level density of states: 4.959 states/eV/cell

=====

| no. | total energy (eV/atom) |
| --- | --- |
| 1 | -5.66 |
| 2 | -9.24 |
| 3 | -1.99 |